No. 1
The following is a DFT calculation (GGA-PBE) of a relaxed structure of LiCeIn2.

Properties
Crystal system: trigonal
Energy of formation from the pure elements, eV per atom: -0.185
Calculated total energy, eV/atom: -3.516

Unit cell a=10.697 b=10.697 c=10.697 alpha=17.38 beta=17.38 gamma=17.38
Atoms (fractional coordinates):
Li: 0.000 0.000 0.000
Ce: 0.500 0.500 0.500
In: 0.258 0.258 0.258
In: 0.742 0.742 0.742

=====

No. 2
The following is a DFT calculation (GGA-PBE) of a relaxed structure of Li2Ce2In3.

Properties
Crystal system: orthorhombic
Energy of formation from the pure elements, eV per atom: -0.232
Calculated total energy, eV/atom: -3.648

Unit cell a=10.365 b=10.365 c=7.525 alpha=90.00 beta=90.00 gamma=153.89
Atoms (fractional coordinates):
Li: 0.192 0.808 0.562
Li: 0.192 0.808 0.938
Li: 0.808 0.192 0.062
Li: 0.808 0.192 0.438
Ce: 0.342 0.658 0.750
Ce: 0.452 0.548 0.250
Ce: 0.548 0.452 0.750
Ce: 0.658 0.342 0.250
In: 0.067 0.933 0.060
In: 0.067 0.933 0.440
In: 0.279 0.721 0.250
In: 0.721 0.279 0.750
In: 0.933 0.067 0.560
In: 0.933 0.067 0.940

=====

No. 3
The following is a DFT calculation (GGA-PBE) of a relaxed structure of LiCe6In2.

Properties
Crystal system: hexagonal
Energy of formation from the pure elements, eV per atom: -0.096
Calculated total energy, eV/atom: -4.873

Unit cell a=9.072 b=9.072 c=2.990 alpha=90.00 beta=90.00 gamma=120.00
Atoms (fractional coordinates):
Li: 0.000 0.000 0.000
Ce: 0.000 0.315 0.500
Ce: 0.000 0.685 0.500
Ce: 0.315 0.000 0.500
Ce: 0.315 0.315 0.500
Ce: 0.685 0.000 0.500
Ce: 0.685 0.685 0.500
In: 0.333 0.667 0.000
In: 0.667 0.333 0.000